A plane-wave DFT calculation with PBE was carried out for crystalline Ac5LaNd2 at its relaxed geometry.

The calculation puts the final energy at -4.350 eV/atom. The calculation puts the calculated formation energy at 0.026 eV per atom. The calculation puts the density of states at the Fermi level at 14.62 states/eV/cell. The magnetic moment comes out at 0.000 μB per atom. Its crystal system is tetragonal.

abc: 7.7627 7.7627 7.7627
angles: 90.63 119.63 119.63
Closest atoms and distances in Å follow each position.
Positions (direct):
Ac  0.0000  0.2224  0.7221  2 La 3.88, 6 Ac 3.88-3.91, 4 Nd 3.88
Ac  0.0000  0.7226  0.7226  8 Ac 3.88, 4 Nd 3.90
Ac  0.0000  0.7221  0.2224  2 La 3.88, 6 Ac 3.88-3.91, 4 Nd 3.88
Ac  0.4996  0.7221  0.7221  2 La 3.88, 6 Ac 3.88-3.91, 4 Nd 3.88
Ac  0.5004  0.2224  0.2224  2 La 3.88, 6 Ac 3.88-3.91, 4 Nd 3.88
La  0.0000  0.2218  0.2218  8 Ac 3.88, 4 Nd 3.90
Nd  0.5000  0.7223  0.2223  10 Ac 3.88-3.90, 2 La 3.90
Nd  0.5000  0.2223  0.7223  10 Ac 3.88-3.90, 2 La 3.90